Entry 1:
Material: Hg2B2N
Method: DFT, PBE
State: relaxed

a = 5.0596 Å, b = 5.0596 Å, c = 5.8975 Å
α = 90.00°, β = 90.00°, γ = 90.00°
Atoms (fractional coordinates):
Hg  0.1877  0.3123  0.0000
Hg  0.3123  0.8123  0.0000
Hg  0.6877  0.1877  0.0000
Hg  0.8123  0.6877  0.0000
B  0.1261  0.6261  0.5000
B  0.3739  0.1261  0.5000
B  0.6261  0.8739  0.5000
B  0.8739  0.3739  0.5000
N  0.0000  0.0000  0.5000
N  0.5000  0.5000  0.5000

Summary:
- calculated volume (Å³/atom) = 15.1
- SG = P4/mbm, No. 127
- E_form (uncorrected) (eV/atom) = 1.550
- energy above the most stable polymorph in this dataset (eV/atom) = 1.1231
- Fermi-level density of states (states/eV per atom) = 0.52

---

Entry 2:
Material: Hg2BN
Method: DFT, PBE
State: relaxed

a = 5.6851 Å, b = 5.6851 Å, c = 8.5282 Å
α = 90.00°, β = 90.00°, γ = 90.00°
Atoms (fractional coordinates):
Hg  0.2478  0.2500  0.1250
Hg  0.2500  0.7478  0.3750
Hg  0.2500  0.7522  0.8750
Hg  0.2522  0.2500  0.6250
Hg  0.7478  0.7500  0.6250
Hg  0.7500  0.2478  0.8750
Hg  0.7500  0.2522  0.3750
Hg  0.7522  0.7500  0.1250
B  0.0000  0.0000  0.5000
B  0.0000  0.5000  0.7500
B  0.5000  0.0000  0.2500
B  0.5000  0.5000  0.0000
N  0.0000  0.0000  0.0000
N  0.0000  0.5000  0.2500
N  0.5000  0.0000  0.7500
N  0.5000  0.5000  0.5000

Summary:
- calculated volume (Å³/atom) = 17.2
- SG = I-42d, No. 122
- E_form (uncorrected) (eV/atom) = 1.468
- energy above the most stable polymorph in this dataset (eV/atom) = 0.0000
- Fermi-level density of states (states/eV per atom) = 0.34

---

Entry 3:
Material: HgB2N
Method: DFT, PBE
State: relaxed

a = 5.7475 Å, b = 5.7475 Å, c = 5.7475 Å
α = 90.00°, β = 90.00°, γ = 90.00°
Atoms (fractional coordinates):
Hg  0.0000  0.0000  0.0000
Hg  0.0000  0.5000  0.5000
Hg  0.5000  0.0000  0.5000
Hg  0.5000  0.5000  0.0000
B  0.2500  0.2500  0.2500
B  0.2500  0.2500  0.7500
B  0.2500  0.7500  0.2500
B  0.2500  0.7500  0.7500
B  0.7500  0.2500  0.2500
B  0.7500  0.2500  0.7500
B  0.7500  0.7500  0.2500
B  0.7500  0.7500  0.7500
N  0.0000  0.0000  0.5000
N  0.0000  0.5000  0.0000
N  0.5000  0.0000  0.0000
N  0.5000  0.5000  0.5000

Summary:
- calculated volume (Å³/atom) = 11.9
- SG = Fm-3m, No. 225
- E_form (uncorrected) (eV/atom) = 2.626
- energy above the most stable polymorph in this dataset (eV/atom) = 1.9594
- Fermi-level density of states (states/eV per atom) = 0.56

---

Entry 4:
Material: HgBN2O
Method: DFT, PBE
State: relaxed

a = 4.3095 Å, b = 4.3095 Å, c = 4.3188 Å
α = 90.00°, β = 90.00°, γ = 90.00°
Atoms (fractional coordinates):
Hg  0.0000  0.0000  0.0000
B  0.5000  0.5000  0.5000
N  0.0000  0.5000  0.0000
N  0.5000  0.0000  0.0000
O  0.0000  0.0000  0.5000

Summary:
- calculated volume (Å³/atom) = 16.0
- SG = P4/mmm, No. 123
- E_form (uncorrected) (eV/atom) = 2.796
- Fermi-level density of states (states/eV per atom) = 0.47

---

Entry 5:
Material: HgB2NO
Method: DFT, PBE
State: relaxed

a = 3.1066 Å, b = 3.1066 Å, c = 7.9572 Å
α = 90.00°, β = 90.00°, γ = 90.00°
Atoms (fractional coordinates):
Hg  0.0000  0.0000  0.0000
B  0.0000  0.5000  0.5000
B  0.5000  0.0000  0.5000
N  0.0000  0.0000  0.5000
O  0.5000  0.5000  0.0000

Summary:
- calculated volume (Å³/atom) = 15.4
- SG = P4/mmm, No. 123
- E_form (uncorrected) (eV/atom) = 1.139
- Fermi-level density of states (states/eV per atom) = 0.35

---

Entry 6:
Material: HgBN2O
Method: DFT, PBE
State: relaxed

a = 3.1228 Å, b = 3.1228 Å, c = 6.7213 Å
α = 90.00°, β = 90.00°, γ = 90.00°
Atoms (fractional coordinates):
Hg  0.0000  0.0000  0.0000
B  0.5000  0.5000  0.5000
N  0.0000  0.5000  0.5000
N  0.5000  0.0000  0.5000
O  0.5000  0.5000  0.0000

Summary:
- calculated volume (Å³/atom) = 13.1
- SG = P4/mmm, No. 123
- E_form (uncorrected) (eV/atom) = 0.838
- Fermi-level density of states (states/eV per atom) = 0.60

---

Entry 7:
Material: ReHg2BN
Method: DFT, PBE
State: relaxed

a = 5.4272 Å, b = 5.4272 Å, c = 4.0374 Å
α = 90.00°, β = 90.00°, γ = 90.00°
Atoms (fractional coordinates):
Re  0.0000  0.0000  0.0000
Hg  0.0000  0.5000  0.0000
Hg  0.5000  0.0000  0.0000
B  0.0000  0.0000  0.5000
N  0.5000  0.5000  0.5000

Summary:
- calculated volume (Å³/atom) = 23.8
- SG = P4/mmm, No. 123
- E_form (uncorrected) (eV/atom) = 1.911
- Fermi-level density of states (states/eV per atom) = 0.67

---

Entry 8:
Material: HgBS2N
Method: DFT, PBE
State: relaxed

a = 6.7204 Å, b = 6.7204 Å, c = 2.5576 Å
α = 90.00°, β = 90.00°, γ = 90.00°
Atoms (fractional coordinates):
Hg  0.0000  0.0000  0.0000
B  0.5000  0.5000  0.5000
S  0.0000  0.5000  0.5000
S  0.5000  0.0000  0.5000
N  0.5000  0.5000  0.0000

Summary:
- calculated volume (Å³/atom) = 23.1
- SG = P4/mmm, No. 123
- E_form (uncorrected) (eV/atom) = 0.333
- energy above the most stable polymorph in this dataset (eV/atom) = 0.0000
- Fermi-level density of states (states/eV per atom) = 0.58

---

Entry 9:
Material: HgBS2N
Method: DFT, PBE
State: relaxed

a = 5.1457 Å, b = 5.1457 Å, c = 4.2091 Å
α = 90.00°, β = 90.00°, γ = 90.00°
Atoms (fractional coordinates):
Hg  0.0000  0.0000  0.0000
B  0.5000  0.5000  0.5000
S  0.0000  0.5000  0.0000
S  0.5000  0.0000  0.0000
N  0.0000  0.0000  0.5000

Summary:
- calculated volume (Å³/atom) = 22.3
- SG = P4/mmm, No. 123
- E_form (uncorrected) (eV/atom) = 2.245
- energy above the most stable polymorph in this dataset (eV/atom) = 1.9121
- Fermi-level density of states (states/eV per atom) = 0.79

---

Entry 10:
Material: HgB2SeN
Method: DFT, PBE
State: relaxed

a = 4.2172 Å, b = 4.2172 Å, c = 4.6455 Å
α = 90.00°, β = 90.00°, γ = 90.00°
Atoms (fractional coordinates):
Hg  0.0000  0.0000  0.0000
B  0.0000  0.5000  0.0000
B  0.5000  0.0000  0.0000
Se  0.5000  0.5000  0.5000
N  0.0000  0.0000  0.5000

Summary:
- calculated volume (Å³/atom) = 16.5
- SG = P4/mmm, No. 123
- E_form (uncorrected) (eV/atom) = 2.391
- Fermi-level density of states (states/eV per atom) = 0.52

---

Entry 11:
Material: TlHg2BN
Method: DFT, PBE
State: relaxed

a = 4.4236 Å, b = 4.4236 Å, c = 5.8541 Å
α = 90.00°, β = 90.00°, γ = 90.00°
Atoms (fractional coordinates):
Tl  0.0000  0.0000  0.0000
Hg  0.0000  0.5000  0.5000
Hg  0.5000  0.0000  0.5000
B  0.5000  0.5000  0.0000
N  0.0000  0.0000  0.5000

Summary:
- calculated volume (Å³/atom) = 22.9
- SG = P4/mmm, No. 123
- E_form (uncorrected) (eV/atom) = 1.525
- Fermi-level density of states (states/eV per atom) = 0.56

---

Entry 12:
Material: NaHgB2
Method: DFT, PBE
State: relaxed

a = 3.7103 Å, b = 3.7103 Å, c = 18.2444 Å
α = 90.00°, β = 90.00°, γ = 90.00°
Atoms (fractional coordinates):
Na  0.0000  0.2500  0.3750
Na  0.0000  0.7500  0.6250
Na  0.5000  0.2500  0.1250
Na  0.5000  0.7500  0.8750
Hg  0.0000  0.2500  0.8750
Hg  0.0000  0.7500  0.1250
Hg  0.5000  0.2500  0.6250
Hg  0.5000  0.7500  0.3750
B  0.0000  0.0000  0.0000
B  0.0000  0.5000  0.0000
B  0.2500  0.2500  0.7500
B  0.2500  0.7500  0.2500
B  0.5000  0.0000  0.5000
B  0.5000  0.5000  0.5000
B  0.7500  0.2500  0.7500
B  0.7500  0.7500  0.2500

Summary:
- calculated volume (Å³/atom) = 15.7
- SG = I4_1/amd, No. 141
- raw total energy (eV per atom) = -2.790
- Fermi-level density of states (states/eV per atom) = 0.35

---

Entry 13:
Material: NaHgB3
Method: DFT, PBE
State: relaxed

a = 4.5299 Å, b = 4.5299 Å, c = 4.5299 Å
α = 90.00°, β = 90.00°, γ = 90.00°
Atoms (fractional coordinates):
Na  0.0000  0.0000  0.0000
Hg  0.5000  0.5000  0.5000
B  0.0000  0.0000  0.5000
B  0.0000  0.5000  0.0000
B  0.5000  0.0000  0.0000

Summary:
- calculated volume (Å³/atom) = 18.6
- SG = Pm-3m, No. 221
- energy above the most stable polymorph in this dataset (eV/atom) = 0.6055
- Fermi-level density of states (states/eV per atom) = 0.58

---

Entry 14:
Material: NaHg3B
Method: DFT, PBE
State: relaxed

a = 5.7454 Å, b = 5.7454 Å, c = 5.7454 Å
α = 90.00°, β = 90.00°, γ = 90.00°
Atoms (fractional coordinates):
Na  0.0000  0.0000  0.0000
Hg  0.0000  0.0000  0.5000
Hg  0.0000  0.5000  0.0000
Hg  0.5000  0.0000  0.0000
B  0.5000  0.5000  0.5000

Summary:
- calculated volume (Å³/atom) = 37.9
- SG = Pm-3m, No. 221
- energy above the most stable polymorph in this dataset (eV/atom) = 0.8361
- Fermi-level density of states (states/eV per atom) = 1.34

---

Entry 15:
Material: NaHg3B
Method: DFT, PBE
State: relaxed

a = 4.7960 Å, b = 4.7960 Å, c = 4.7960 Å
α = 90.00°, β = 90.00°, γ = 90.00°
Atoms (fractional coordinates):
Na  0.0000  0.0000  0.0000
Hg  0.0000  0.5000  0.5000
Hg  0.5000  0.0000  0.5000
Hg  0.5000  0.5000  0.0000
B  0.5000  0.5000  0.5000

Summary:
- calculated volume (Å³/atom) = 22.1
- SG = Pm-3m, No. 221
- energy above the most stable polymorph in this dataset (eV/atom) = 0.0000
- Fermi-level density of states (states/eV per atom) = 0.37

---

Entry 16:
Material: Na2HgB
Method: DFT, PBE
State: relaxed

a = 10.8906 Å, b = 10.8906 Å, c = 4.1690 Å
α = 90.00°, β = 90.00°, γ = 90.00°
Atoms (fractional coordinates):
Na  0.0067  0.2500  0.1250
Na  0.2500  0.5067  0.3750
Na  0.2500  0.9933  0.8750
Na  0.4933  0.2500  0.6250
Na  0.5067  0.7500  0.6250
Na  0.7500  0.0067  0.8750
Na  0.7500  0.4933  0.3750
Na  0.9933  0.7500  0.1250
Hg  0.0000  0.0000  0.5000
Hg  0.0000  0.5000  0.7500
Hg  0.5000  0.0000  0.2500
Hg  0.5000  0.5000  0.0000
B  0.0000  0.0000  0.0000
B  0.0000  0.5000  0.2500
B  0.5000  0.0000  0.7500
B  0.5000  0.5000  0.5000

Summary:
- calculated volume (Å³/atom) = 30.9
- SG = I-42d, No. 122
- energy above the most stable polymorph in this dataset (eV/atom) = 0.0000
- Fermi-level density of states (states/eV per atom) = 0.50

---

Entry 17:
Material: Na2HgB
Method: DFT, PBE
State: relaxed

a = 6.9324 Å, b = 6.9324 Å, c = 6.9324 Å
α = 90.00°, β = 90.00°, γ = 90.00°
Atoms (fractional coordinates):
Na  0.2500  0.2500  0.2500
Na  0.2500  0.2500  0.7500
Na  0.2500  0.7500  0.2500
Na  0.2500  0.7500  0.7500
Na  0.7500  0.2500  0.2500
Na  0.7500  0.2500  0.7500
Na  0.7500  0.7500  0.2500
Na  0.7500  0.7500  0.7500
Hg  0.0000  0.0000  0.0000
Hg  0.0000  0.5000  0.5000
Hg  0.5000  0.0000  0.5000
Hg  0.5000  0.5000  0.0000
B  0.0000  0.0000  0.5000
B  0.0000  0.5000  0.0000
B  0.5000  0.0000  0.0000
B  0.5000  0.5000  0.5000

Summary:
- calculated volume (Å³/atom) = 20.8
- SG = Fm-3m, No. 225
- energy above the most stable polymorph in this dataset (eV/atom) = 0.3606
- Fermi-level density of states (states/eV per atom) = 0.66

---

Entry 18:
Material: Na2HgB2
Method: DFT, PBE
State: relaxed

a = 8.1854 Å, b = 8.1854 Å, c = 2.9376 Å
α = 90.00°, β = 90.00°, γ = 90.00°
Atoms (fractional coordinates):
Na  0.2000  0.3000  0.0000
Na  0.3000  0.8000  0.0000
Na  0.7000  0.2000  0.0000
Na  0.8000  0.7000  0.0000
Hg  0.0000  0.0000  0.0000
Hg  0.5000  0.5000  0.0000
B  0.0683  0.5683  0.5000
B  0.4317  0.0683  0.5000
B  0.5683  0.9317  0.5000
B  0.9317  0.4317  0.5000

Summary:
- calculated volume (Å³/atom) = 19.7
- SG = P4/mbm, No. 127
- energy above the most stable polymorph in this dataset (eV/atom) = 0.1412
- Fermi-level density of states (states/eV per atom) = 0.00

---

Entry 19:
Material: Na2HgB2
Method: DFT, PBE
State: relaxed

a = 2.8636 Å, b = 2.8636 Å, c = 19.9815 Å
α = 90.00°, β = 90.00°, γ = 90.00°
Atoms (fractional coordinates):
Na  0.0000  0.0000  0.1312
Na  0.0000  0.0000  0.8688
Na  0.5000  0.5000  0.3688
Na  0.5000  0.5000  0.6312
Hg  0.0000  0.0000  0.5000
Hg  0.5000  0.5000  0.0000
B  0.0000  0.5000  0.2500
B  0.0000  0.5000  0.7500
B  0.5000  0.0000  0.2500
B  0.5000  0.0000  0.7500

Summary:
- calculated volume (Å³/atom) = 16.4
- SG = I4/mmm, No. 139
- energy above the most stable polymorph in this dataset (eV/atom) = 0.0000
- Fermi-level density of states (states/eV per atom) = 0.40

---

Entry 20:
Material: NaHgB3
Method: DFT, PBE
State: relaxed

a = 4.5152 Å, b = 4.5152 Å, c = 4.5152 Å
α = 90.00°, β = 90.00°, γ = 90.00°
Atoms (fractional coordinates):
Na  0.0000  0.0000  0.0000
Hg  0.5000  0.5000  0.5000
B  0.0000  0.5000  0.5000
B  0.5000  0.0000  0.5000
B  0.5000  0.5000  0.0000

Summary:
- calculated volume (Å³/atom) = 18.4
- SG = Pm-3m, No. 221
- energy above the most stable polymorph in this dataset (eV/atom) = 0.0000
- Fermi-level density of states (states/eV per atom) = 0.88